Run A
Computed, not measured: KTcPt at its PBEsol-relaxed geometry at the meta-GGA SCAN level of DFT.

Unit cell a=4.875 b=4.875 c=2.616 alpha=90.00 beta=90.00 gamma=120.00
Atoms (fractional coordinates):
K1 0.000 0.000 0.000
Tc1 0.667 0.333 0.500
Pt1 0.333 0.667 0.500

**Magnetic moment**: 0.00 μB per formula unit
**V**: 53.8 Å³ per cell
**Space group**: P-6m2

***

Run B
Computed, not measured: KTcPt at its PBEsol-relaxed geometry at the meta-GGA SCAN level of DFT.

Unit cell a=2.791 b=2.791 c=7.980 alpha=90.00 beta=90.00 gamma=120.00
Atoms (fractional coordinates):
K1 0.000 0.000 0.000
Tc1 0.667 0.333 0.378
Pt1 0.333 0.667 0.645

**Magnetic moment**: 0.00 μB per formula unit
**V**: 53.8 Å³ per cell
**Space group**: P3m1

***

Here is how they stack up, most stable first: run B, run A.

***

Run A
Computed, not measured: KTc2Pt at its PBEsol-relaxed geometry at the meta-GGA SCAN level of DFT.

Unit cell a=2.717 b=2.717 c=10.137 alpha=90.00 beta=90.00 gamma=116.29
Atoms (fractional coordinates):
K1 0.000 0.000 0.000
Tc1 0.000 0.000 0.498
Tc2 0.500 0.500 0.294
Pt1 0.500 0.500 0.731

**Magnetic moment**: 0.00 μB per formula unit
**V**: 67.1 Å³ per cell
**Space group**: Cmm2

***

Run B
Computed, not measured: KTc2Pt at its PBEsol-relaxed geometry at the meta-GGA SCAN level of DFT.

Unit cell a=2.703 b=4.826 c=5.062 alpha=90.00 beta=90.00 gamma=90.00
Atoms (fractional coordinates):
K1 0.000 0.000 0.000
Tc1 0.000 0.500 0.500
Tc2 0.500 0.000 0.500
Pt1 0.500 0.500 0.000

**Magnetic moment**: 1.56 μB per formula unit
**V**: 66.0 Å³ per cell
**Space group**: Pmmm

***

Here is how they stack up, most stable first: run A, run B.

***

Run A
Computed, not measured: KTc2Pt at its PBEsol-relaxed geometry at the meta-GGA SCAN level of DFT.

Unit cell a=2.682 b=3.773 c=7.810 alpha=90.00 beta=90.00 gamma=90.00
Atoms (fractional coordinates):
K1 0.000 0.000 0.000
Tc1 0.000 0.000 0.495
Tc2 0.500 0.500 0.642
Pt1 0.500 0.500 0.310

**Magnetic moment**: 0.00 μB per formula unit
**V**: 79.0 Å³ per cell
**Space group**: Pmm2

***

Run B
Computed, not measured: KTc2Pt at its PBEsol-relaxed geometry at the meta-GGA SCAN level of DFT.

Unit cell a=2.701 b=4.397 c=7.056 alpha=90.00 beta=90.00 gamma=90.00
Atoms (fractional coordinates):
K1 0.000 0.000 0.000
Tc1 0.500 0.500 0.351
Tc2 0.500 0.500 0.649
Pt1 0.000 0.000 0.500

**Magnetic moment**: 0.00 μB per formula unit
**V**: 83.8 Å³ per cell
**Space group**: Pmmm

***

Here is how they stack up, most stable first: run A, run B.

***

Run A
Computed, not measured: K2YPt at its PBEsol-relaxed geometry at the meta-GGA SCAN level of DFT.

Unit cell a=12.376 b=12.376 c=12.376 alpha=15.39 beta=15.39 gamma=15.39
Atoms (fractional coordinates):
K1 0.234 0.234 0.234
K2 0.766 0.766 0.766
Y1 0.000 0.000 0.000
Pt1 0.500 0.500 0.500

**Magnetic moment**: 0.00 μB per formula unit
**V**: 116.3 Å³ per cell
**Space group**: R-3m

***

Run B
Computed, not measured: K2YPt at its PBEsol-relaxed geometry at the meta-GGA SCAN level of DFT.

Unit cell a=6.550 b=6.550 c=3.425 alpha=90.00 beta=90.00 gamma=128.01
Atoms (fractional coordinates):
K1 0.000 0.500 0.000
K2 0.500 0.000 0.000
Y1 0.000 0.000 0.500
Pt1 0.500 0.500 0.500

**Magnetic moment**: 0.49 μB per formula unit
**V**: 115.8 Å³ per cell
**Space group**: Cmmm

***

Here is how they stack up, most stable first: run B, run A.

***

Run A
Computed, not measured: KZr2Pt at its PBEsol-relaxed geometry at the meta-GGA SCAN level of DFT.

Unit cell a=10.364 b=10.364 c=10.364 alpha=20.30 beta=20.30 gamma=20.30
Atoms (fractional coordinates):
K1 0.000 0.000 0.000
Zr1 0.219 0.219 0.219
Zr2 0.781 0.781 0.781
Pt1 0.500 0.500 0.500

**Magnetic moment**: 0.13 μB per formula unit
**V**: 117.3 Å³ per cell
**Space group**: R-3m

***

Run B
Computed, not measured: KZr2Pt at its PBEsol-relaxed geometry at the meta-GGA SCAN level of DFT.

Unit cell a=3.438 b=3.438 c=9.241 alpha=90.00 beta=90.00 gamma=90.00
Atoms (fractional coordinates):
K1 0.000 0.000 0.000
Zr1 0.500 0.500 0.350
Zr2 0.500 0.500 0.650
Pt1 0.000 0.000 0.500

**Magnetic moment**: 0.00 μB per formula unit
**V**: 109.2 Å³ per cell
**Space group**: P4/mmm

***

Here is how they stack up, most stable first: run A, run B.

***

Run A
Computed, not measured: KZrPt at its PBEsol-relaxed geometry at the meta-GGA SCAN level of DFT.

Unit cell a=4.713 b=4.713 c=4.713 alpha=60.00 beta=60.00 gamma=60.00
Atoms (fractional coordinates):
K1 0.000 0.000 0.000
Zr1 0.500 0.500 0.500
Pt1 0.750 0.750 0.750

**Magnetic moment**: 0.00 μB per formula unit
**V**: 74.0 Å³ per cell
**Space group**: F-43m

***

Run B
Computed, not measured: KZrPt at its PBEsol-relaxed geometry at the meta-GGA SCAN level of DFT.

Unit cell a=3.778 b=3.778 c=7.458 alpha=90.00 beta=90.00 gamma=120.00
Atoms (fractional coordinates):
K1 0.000 0.000 0.000
Zr1 0.667 0.333 0.488
Pt1 0.333 0.667 0.662

**Magnetic moment**: 0.00 μB per formula unit
**V**: 92.2 Å³ per cell
**Space group**: P3m1

***

Here is how they stack up, most stable first: run B, run A.